Record 1
Density functional theory data (PBE-GGA) for a geometry-optimized K2AgSb structure.

Output
Symmetry: C2/m
D(E_F): 1.133 states/eV/f.u.
ΔE_f (raw): -0.097 eV per atom

Lattice parameters (Å, degrees): 6.002 6.002 3.960 90.15 90.15 115.49
Atoms (fractional coordinates):
K 0.000 0.500 0.000
K 0.500 0.000 0.000
Ag 0.000 0.000 0.500
Sb 0.500 0.500 0.500

---

Record 2
Density functional theory data (PBE-GGA) for a geometry-optimized CuAsAu3 structure.

Output
Symmetry: Pm-3m
D(E_F): 2.977 states/eV/f.u.
E_form: 620 meV per atom

Lattice parameters (Å, degrees): 4.889 4.889 4.889 90.00 90.00 90.00
Atoms (fractional coordinates):
Cu 0.000 0.000 0.000
As 0.500 0.500 0.500
Au 0.000 0.500 0.500
Au 0.500 0.000 0.500
Au 0.500 0.500 0.000

---

Record 3
Density functional theory data (PBE-GGA) for a geometry-optimized Y2HoPu3Se6 structure.

Output
Symmetry: C2/m
D(E_F): 26.367 states/eV/f.u.
ΔE_f (raw): -1.672 eV per atom

Lattice parameters (Å, degrees): 9.216 9.216 8.255 103.68 103.68 25.65
Atoms (fractional coordinates):
Y 0.167 0.167 0.334
Y 0.833 0.833 0.666
Ho 0.500 0.500 0.000
Pu 0.167 0.167 0.833
Pu 0.500 0.500 0.500
Pu 0.833 0.833 0.167
Se 0.001 0.001 0.246
Se 0.332 0.332 0.419
Se 0.335 0.335 0.915
Se 0.665 0.665 0.085
Se 0.668 0.668 0.581
Se 0.999 0.999 0.754